# 1
## ZrHg2Rh (GGA-PBE)

Data for ZrHg2Rh after structural relaxation.

CIF file:
```
data_ZrHg2Rh
_chemical_formula_sum 'Zr1 Hg2 Rh1'
_cell_length_a 6.4301
_cell_length_b 5.3515
_cell_length_c 3.0500
_cell_angle_alpha 89.99
_cell_angle_beta 61.71
_cell_angle_gamma 117.76
_space_group_name_H-M_alt 'P 1'
_space_group_IT_number 1
loop_
_space_group_symop_operation_xyz
'x,y,z'
loop_
_atom_site_label
_atom_site_type_symbol
_atom_site_fract_x
_atom_site_fract_y
_atom_site_fract_z
Rh1 Rh 0.0000 0.5000 0.5000
Hg1 Hg 0.5000 0.0000 0.5000
Zr1 Zr 0.5000 0.5000 0.0000
Hg2 Hg 0.0000 0.0000 0.0000
```

Properties
Calculated formation energy = 21 meV/atom
Symmetry = Cmmm (65)

=====

# 2
## CdTcTe3 (GGA-PBE)

Data for CdTcTe3 after structural relaxation.

CIF file:
```
data_CdTcTe3
_chemical_formula_sum 'Cd1 Tc1 Te3'
_cell_length_a 5.2791
_cell_length_b 5.2791
_cell_length_c 5.2791
_cell_angle_alpha 90.00
_cell_angle_beta 90.00
_cell_angle_gamma 90.00
_space_group_name_H-M_alt 'P 1'
_space_group_IT_number 1
loop_
_space_group_symop_operation_xyz
'x,y,z'
loop_
_atom_site_label
_atom_site_type_symbol
_atom_site_fract_x
_atom_site_fract_y
_atom_site_fract_z
Te1 Te 0.0000 0.5000 0.0000
Te2 Te 0.5000 0.0000 0.0000
Te3 Te 0.0000 0.0000 0.5000
Tc1 Tc 0.0000 0.0000 0.0000
Cd1 Cd 0.5000 0.5000 0.5000
```

Properties
Energy relative to the elements, uncorrected = 0.432 eV per atom
Symmetry = Pm-3m (221)

=====

# 3
## Ba2OsCl (GGA-PBE)

Data for Ba2OsCl after structural relaxation.

CIF file:
```
data_Ba2OsCl
_chemical_formula_sum 'Ba2 Os1 Cl1'
_cell_length_a 3.7360
_cell_length_b 3.7390
_cell_length_c 8.4323
_cell_angle_alpha 90.00
_cell_angle_beta 90.00
_cell_angle_gamma 90.00
_space_group_name_H-M_alt 'P 1'
_space_group_IT_number 1
loop_
_space_group_symop_operation_xyz
'x,y,z'
loop_
_atom_site_label
_atom_site_type_symbol
_atom_site_fract_x
_atom_site_fract_y
_atom_site_fract_z
Ba1 Ba 0.0000 0.0000 0.5218
Cl1 Cl 0.5000 0.5000 0.2500
Os1 Os 0.5000 0.5000 0.7500
Ba2 Ba 0.0000 0.0000 0.9782
```

Properties
Energy relative to the elements, uncorrected = -0.343 eV per atom
Symmetry = P4/mmm (123)

=====

M_tot values (in μB per formula unit) by entry order: 0.00 0.00 0.49.
Total energy values (in eV per atom) by entry order: -4.1046 -3.7091 -4.5732.